Computed, not measured: a crystal of YSc2Pt2 relaxed with PBEsol at the meta-GGA SCAN level of DFT.

Values from the calculation:
energy = -202.8 eV per cell
DOS(E_F) = 6.6 states/eV/f.u.
magnetic moment = 0.001 μB per atom

The structure in CIF format:
```
data_YSc2Pt2
_space_group_name_H-M_alt 'P 1'
_space_group_IT_number 1
_space_group_name_Hall 'P 1'
_cell_length_a 6.514
_cell_length_b 6.514
_cell_length_c 6.514
_cell_angle_alpha 141.49
_cell_angle_beta 141.49
_cell_angle_gamma 55.59
loop_
_atom_site_label
_atom_site_type_symbol
_atom_site_fract_x
_atom_site_fract_y
_atom_site_fract_z
Y1 Y 0.000 0.000 0.000
Sc1 Sc 0.250 0.750 0.500
Sc2 Sc 0.750 0.250 0.500
Pt1 Pt 0.387 0.387 0.000
Pt2 Pt 0.613 0.613 0.000
```

=====

Computed, not measured: a crystal of YScPt2 relaxed with PBEsol at the meta-GGA SCAN level of DFT.

Values from the calculation:
energy = -186.3 eV per cell
DOS(E_F) = 3.6 states/eV/f.u.
magnetic moment = 0.000 μB per atom

The structure in CIF format:
```
data_YScPt2
_space_group_name_H-M_alt 'P 1'
_space_group_IT_number 1
_space_group_name_Hall 'P 1'
_cell_length_a 4.656
_cell_length_b 4.656
_cell_length_c 4.656
_cell_angle_alpha 60.00
_cell_angle_beta 60.00
_cell_angle_gamma 60.00
loop_
_atom_site_label
_atom_site_type_symbol
_atom_site_fract_x
_atom_site_fract_y
_atom_site_fract_z
Y1 Y 0.000 0.000 0.000
Sc1 Sc 0.750 0.750 0.750
Pt1 Pt 0.250 0.250 0.250
Pt2 Pt 0.500 0.500 0.500
```

=====

Computed, not measured: a crystal of YScPt2 relaxed with PBEsol at the meta-GGA SCAN level of DFT.

Values from the calculation:
energy = -188.1 eV per cell
DOS(E_F) = 2.9 states/eV/f.u.
magnetic moment = 0.000 μB per atom

The structure in CIF format:
```
data_YScPt2
_space_group_name_H-M_alt 'P 1'
_space_group_IT_number 1
_space_group_name_Hall 'P 1'
_cell_length_a 4.391
_cell_length_b 5.378
_cell_length_c 5.378
_cell_angle_alpha 38.61
_cell_angle_beta 90.00
_cell_angle_gamma 90.00
loop_
_atom_site_label
_atom_site_type_symbol
_atom_site_fract_x
_atom_site_fract_y
_atom_site_fract_z
Y1 Y 0.000 0.000 0.000
Sc1 Sc 0.500 0.278 0.278
Pt1 Pt 0.000 0.729 0.729
Pt2 Pt 0.500 0.556 0.556
```

=====

Computed, not measured: a crystal of YSc3Pt relaxed with PBEsol at the meta-GGA SCAN level of DFT.

Values from the calculation:
energy = -143.2 eV per cell
DOS(E_F) = 5.6 states/eV/f.u.
magnetic moment = 0.000 μB per atom

The structure in CIF format:
```
data_YSc3Pt
_space_group_name_H-M_alt 'P 1'
_space_group_IT_number 1
_space_group_name_Hall 'P 1'
_cell_length_a 5.076
_cell_length_b 5.076
_cell_length_c 5.076
_cell_angle_alpha 90.00
_cell_angle_beta 90.00
_cell_angle_gamma 90.00
loop_
_atom_site_label
_atom_site_type_symbol
_atom_site_fract_x
_atom_site_fract_y
_atom_site_fract_z
Y1 Y 0.000 0.000 0.000
Sc1 Sc 0.000 0.500 0.500
Sc2 Sc 0.500 0.000 0.500
Sc3 Sc 0.500 0.500 0.000
Pt1 Pt 0.500 0.500 0.500
```

=====

Computed, not measured: a crystal of YSc2Pt2 relaxed with PBEsol at the meta-GGA SCAN level of DFT.

Values from the calculation:
energy = -405.6 eV per cell
DOS(E_F) = 3.7 states/eV/f.u.
magnetic moment = 0.000 μB per atom

The structure in CIF format:
```
data_YSc2Pt2
_space_group_name_H-M_alt 'P 1'
_space_group_IT_number 1
_space_group_name_Hall 'P 1'
_cell_length_a 7.465
_cell_length_b 7.465
_cell_length_c 3.624
_cell_angle_alpha 90.00
_cell_angle_beta 90.00
_cell_angle_gamma 90.00
loop_
_atom_site_label
_atom_site_type_symbol
_atom_site_fract_x
_atom_site_fract_y
_atom_site_fract_z
Y1 Y 0.000 0.000 0.000
Y2 Y 0.500 0.500 0.000
Sc1 Sc 0.155 0.345 0.500
Sc2 Sc 0.345 0.845 0.500
Sc3 Sc 0.655 0.155 0.500
Sc4 Sc 0.845 0.655 0.500
Pt1 Pt 0.138 0.638 0.000
Pt2 Pt 0.362 0.138 0.000
Pt3 Pt 0.638 0.862 0.000
Pt4 Pt 0.862 0.362 0.000
```

=====

Computed, not measured: a crystal of YScPt2 relaxed with PBEsol at the meta-GGA SCAN level of DFT.

Values from the calculation:
energy = -187.3 eV per cell
DOS(E_F) = 2.6 states/eV/f.u.
magnetic moment = 0.000 μB per atom

The structure in CIF format:
```
data_YScPt2
_space_group_name_H-M_alt 'P 1'
_space_group_IT_number 1
_space_group_name_Hall 'P 1'
_cell_length_a 3.792
_cell_length_b 3.792
_cell_length_c 5.696
_cell_angle_alpha 90.00
_cell_angle_beta 90.00
_cell_angle_gamma 90.00
loop_
_atom_site_label
_atom_site_type_symbol
_atom_site_fract_x
_atom_site_fract_y
_atom_site_fract_z
Y1 Y 0.000 0.000 0.000
Sc1 Sc 0.500 0.500 0.612
Pt1 Pt 0.000 0.000 0.507
Pt2 Pt 0.500 0.500 0.128
```